This record from the Alexandria database describes crystalline ErSb2Pd7 at its relaxed geometry. The functional is PBE.

Cell lengths 4.1164, 4.1164, 11.4460 Å; angles 100.36, 100.36, 90.00 degrees
Closest atoms and distances in Å follow each position.
Atoms (fractional coordinates):
Pd (0.4070, 0.9070, 0.8139)  2 Sb 2.67, 6 Pd 2.91, 2 Er 2.91
Pd (0.0930, 0.5930, 0.1861)  2 Sb 2.67, 6 Pd 2.91, 2 Er 2.91
Pd (0.7500, 0.2500, 0.5000)  4 Sb 2.71, 4 Pd 2.91
Pd (0.2500, 0.7500, 0.5000)  4 Sb 2.71, 4 Pd 2.91
Pd (0.9070, 0.4070, 0.8139)  2 Sb 2.67, 6 Pd 2.91, 2 Er 2.91
Pd (0.5930, 0.0930, 0.1861)  2 Sb 2.67, 6 Pd 2.91, 2 Er 2.91
Pd (0.5000, 0.5000, 0.0000)  4 Er 2.91, 8 Pd 2.91
Sb (0.3299, 0.3299, 0.6597)  8 Pd 2.67-2.71
Sb (0.6701, 0.6701, 0.3403)  8 Pd 2.67-2.71
Er (0.0000, 0.0000, 0.0000)  12 Pd 2.91

Computed properties:
Space group: I4/mmm
Size of the total moment (μB/atom): 0.0000
ΔE_f (raw) (meV/atom): -608.0
Energy relative to the lowest polymorph listed for this composition (meV/atom): 0
Uncorrected energy (eV per atom): -5.524

This record from the Alexandria database describes crystalline ErSbPd4 at its relaxed geometry. The functional is PBE.

Cell lengths 5.5468, 5.5380, 8.0182 Å; angles 90.00, 90.00, 90.00 degrees
Closest atoms and distances in Å follow each position.
Atoms (fractional coordinates):
Sb (0.5000, 0.0000, 0.2500)  8 Pd 2.79
Sb (0.0000, 0.0000, 0.7500)  8 Pd 2.79
Pd (0.2500, 0.7554, 0.5000)  4 Pd 2.71-2.83, 2 Sb 2.79, 2 Er 2.82
Pd (0.7500, 0.7550, 0.0000)  4 Pd 2.71-2.83, 2 Sb 2.79, 2 Er 2.82
Pd (0.2500, 0.2450, 0.5000)  4 Pd 2.71-2.83, 2 Sb 2.79, 2 Er 2.82
Pd (0.2500, 0.7555, 0.0000)  4 Pd 2.71-2.83, 2 Sb 2.79, 2 Er 2.82
Pd (0.7500, 0.7550, 0.5000)  4 Pd 2.71-2.83, 2 Sb 2.79, 2 Er 2.82
Pd (0.7500, 0.2446, 0.5000)  4 Pd 2.71-2.83, 2 Sb 2.79, 2 Er 2.82
Pd (0.7500, 0.2445, 0.0000)  4 Pd 2.71-2.83, 2 Sb 2.79, 2 Er 2.82
Pd (0.2500, 0.2450, 0.0000)  4 Pd 2.71-2.83, 2 Sb 2.79, 2 Er 2.82
Er (0.0000, 0.5000, 0.2500)  8 Pd 2.82
Er (0.5000, 0.5000, 0.7500)  8 Pd 2.82

Computed properties:
Space group: Cmmm
Size of the total moment (μB/atom): 0.0000
ΔE_f (raw) (meV/atom): -504.8
Energy relative to the lowest polymorph listed for this composition (meV/atom): 46
Uncorrected energy (eV per atom): -5.414

This record from the Alexandria database describes crystalline Er4SbPd at its relaxed geometry. The functional is PBE.

Cell lengths 6.0416, 6.5117, 8.6844 Å; angles 90.00, 110.08, 90.00 degrees
Closest atoms and distances in Å follow each position.
Atoms (fractional coordinates):
Er (0.6090, 0.2500, 0.8995)  1 Pd 2.86, 1 Sb 3.14
Er (0.4303, 0.7500, 0.6067)  1 Pd 2.76
Er (0.9993, 0.5003, 0.7102)  2 Pd 2.85-2.94, 1 Sb 3.18
Er (0.5697, 0.2500, 0.3933)  1 Pd 2.76
Er (0.3910, 0.7500, 0.1005)  1 Pd 2.86, 1 Sb 3.14
Er (0.0007, 0.4997, 0.2898)  2 Pd 2.85-2.94, 1 Sb 3.18
Er (0.9993, 0.9997, 0.7102)  2 Pd 2.85-2.94, 1 Sb 3.18
Er (0.0007, 0.0003, 0.2898)  2 Pd 2.85-2.94, 1 Sb 3.18
Pd (0.7273, 0.7500, 0.4266)  6 Er 2.76-2.94
Pd (0.2727, 0.2500, 0.5734)  6 Er 2.76-2.94
Sb (0.8021, 0.7500, 0.9566)  9 Er 3.10-3.44
Sb (0.1979, 0.2500, 0.0434)  9 Er 3.10-3.44

Computed properties:
Space group: P2_1/m
Size of the total moment (μB/atom): 0.0000
ΔE_f (raw) (meV/atom): -656.0
Energy relative to the lowest polymorph listed for this composition (meV/atom): 0
Uncorrected energy (eV per atom): -5.250

This record from the Alexandria database describes crystalline Er4SbPd at its relaxed geometry. The functional is PBE.

Cell lengths 8.0107, 8.0107, 8.0107 Å; angles 107.54, 107.54, 113.41 degrees
Closest atoms and distances in Å follow each position.
Atoms (fractional coordinates):
Er (0.8327, 0.0209, 0.8118)  1 Pd 2.74, 2 Sb 2.97-3.06
Er (0.7709, 0.0827, 0.3118)  1 Pd 2.74, 2 Sb 2.97-3.06
Er (0.6929, 0.4811, 0.2117)  2 Pd 2.74-2.81, 1 Sb 3.02
Er (0.2092, 0.0209, 0.1882)  1 Pd 2.74, 2 Sb 2.97-3.06
Er (0.2694, 0.4811, 0.7883)  2 Pd 2.74-2.81, 1 Sb 3.02
Er (0.2311, 0.5194, 0.2883)  2 Pd 2.74-2.81, 1 Sb 3.02
Er (0.2311, 0.9429, 0.7117)  2 Pd 2.74-2.81, 1 Sb 3.02
Er (0.7709, 0.4591, 0.6882)  1 Pd 2.74, 2 Sb 2.97-3.06
Sb (0.4887, 0.9887, 0.5000)  6 Er 2.97-3.06
Sb (0.7387, 0.7387, 0.0000)  6 Er 2.97-3.06
Pd (0.2573, 0.2573, 0.0000)  6 Er 2.74-2.81
Pd (0.0073, 0.5073, 0.5000)  6 Er 2.74-2.81

Computed properties:
Space group: I4_1md
Size of the total moment (μB/atom): 0.0017
ΔE_f (raw) (meV/atom): -361.0
Energy relative to the lowest polymorph listed for this composition (meV/atom): 295
Uncorrected energy (eV per atom): -4.955

This record from the Alexandria database describes crystalline Er5SbPd2 at its relaxed geometry. The functional is PBE.

Cell lengths 8.7022, 8.7022, 8.7022 Å; angles 127.66, 127.66, 77.17 degrees
Closest atoms and distances in Å follow each position.
Atoms (fractional coordinates):
Pd (0.1368, 0.6368, 0.7737)  1 Pd 2.97, 8 Er 2.97-2.98
Pd (0.3632, 0.1368, 0.5000)  1 Pd 2.97, 8 Er 2.97-2.98
Pd (0.6368, 0.8632, 0.5000)  1 Pd 2.97, 8 Er 2.97-2.98
Pd (0.8632, 0.3632, 0.2263)  1 Pd 2.97, 8 Er 2.97-2.98
Sb (0.2500, 0.2500, 0.0000)  10 Er 3.24-3.40
Sb (0.7500, 0.7500, 0.0000)  10 Er 3.24-3.40
Er (0.5133, 0.0133, 0.8125)  3 Pd 2.97-2.98, 2 Sb 3.24
Er (0.5000, 0.5000, 0.0000)  4 Pd 2.98
Er (0.2008, 0.7008, 0.1875)  3 Pd 2.97-2.98, 2 Sb 3.24
Er (0.9867, 0.7992, 0.5000)  3 Pd 2.97-2.98, 2 Sb 3.24
Er (0.4867, 0.9867, 0.1875)  3 Pd 2.97-2.98, 2 Sb 3.24
Er (0.2992, 0.4867, 0.5000)  3 Pd 2.97-2.98, 2 Sb 3.24
Er (0.0000, 0.0000, 0.0000)  4 Pd 2.98
Er (0.0133, 0.2008, 0.5000)  3 Pd 2.97-2.98, 2 Sb 3.24
Er (0.7008, 0.5133, 0.5000)  3 Pd 2.97-2.98, 2 Sb 3.24
Er (0.7992, 0.2992, 0.8125)  3 Pd 2.97-2.98, 2 Sb 3.24

Computed properties:
Space group: I4/mcm
Size of the total moment (μB/atom): 0.0001
ΔE_f (raw) (meV/atom): -782.9
Uncorrected energy (eV per atom): -5.448

This record from the Alexandria database describes crystalline ErSbPd5 at its relaxed geometry. The functional is PBE.

Cell lengths 4.1671, 4.1671, 7.3624 Å; angles 90.00, 90.00, 90.00 degrees
Closest atoms and distances in Å follow each position.
Atoms (fractional coordinates):
Sb (0.5000, 0.5000, 0.0000)  8 Pd 2.66
Er (0.0000, 0.0000, 0.5000)  12 Pd 2.90-2.95
Pd (0.0000, 0.5000, 0.2254)  2 Sb 2.66, 6 Pd 2.90-2.95, 2 Er 2.90
Pd (0.5000, 0.5000, 0.5000)  8 Pd 2.90, 4 Er 2.95
Pd (0.5000, 0.0000, 0.7746)  2 Sb 2.66, 2 Er 2.90, 6 Pd 2.90-2.95
Pd (0.0000, 0.5000, 0.7746)  2 Sb 2.66, 6 Pd 2.90-2.95, 2 Er 2.90
Pd (0.5000, 0.0000, 0.2254)  2 Sb 2.66, 2 Er 2.90, 6 Pd 2.90-2.95

Computed properties:
Space group: P4/mmm
Size of the total moment (μB/atom): 0.0000
ΔE_f (raw) (meV/atom): -720.8
Uncorrected energy (eV per atom): -5.671

This record from the Alexandria database describes crystalline ErSb6Pd12 at its relaxed geometry. The functional is PBE.

Cell lengths 7.6163, 7.6163, 7.6163 Å; angles 105.80, 105.80, 105.80 degrees
Closest atoms and distances in Å follow each position.
Atoms (fractional coordinates):
Pd (0.1226, 0.5000, 0.8774)  4 Sb 2.66-2.69, 2 Pd 2.83
Pd (0.1118, 0.3494, 0.3494)  3 Sb 2.76-3.06, 4 Pd 2.83-2.89, 1 Er 2.93
Pd (0.5000, 0.1226, 0.8774)  4 Sb 2.66-2.69, 2 Pd 2.83
Pd (0.1226, 0.8774, 0.5000)  4 Sb 2.66-2.69, 2 Pd 2.83
Pd (0.6506, 0.6506, 0.8882)  3 Sb 2.76-3.06, 4 Pd 2.83-2.89, 1 Er 2.93
Pd (0.6506, 0.8882, 0.6506)  3 Sb 2.76-3.06, 4 Pd 2.83-2.89, 1 Er 2.93
Pd (0.3494, 0.3494, 0.1118)  3 Sb 2.76-3.06, 4 Pd 2.83-2.89, 1 Er 2.93
Pd (0.3494, 0.1118, 0.3494)  3 Sb 2.76-3.06, 4 Pd 2.83-2.89, 1 Er 2.93
Pd (0.5000, 0.8774, 0.1226)  4 Sb 2.66-2.69, 2 Pd 2.83
Pd (0.8774, 0.1226, 0.5000)  4 Sb 2.66-2.69, 2 Pd 2.83
Pd (0.8774, 0.5000, 0.1226)  4 Sb 2.66-2.69, 2 Pd 2.83
Pd (0.8882, 0.6506, 0.6506)  3 Sb 2.76-3.06, 4 Pd 2.83-2.89, 1 Er 2.93
Er (0.0000, 0.0000, 0.0000)  6 Pd 2.93
Sb (0.2670, 0.2670, 0.6754)  6 Pd 2.66-2.76
Sb (0.2670, 0.6754, 0.2670)  6 Pd 2.66-2.76
Sb (0.7330, 0.7330, 0.3246)  6 Pd 2.66-2.76
Sb (0.7330, 0.3246, 0.7330)  6 Pd 2.66-2.76
Sb (0.6754, 0.2670, 0.2670)  6 Pd 2.66-2.76
Sb (0.3246, 0.7330, 0.7330)  6 Pd 2.66-2.76

Computed properties:
Space group: R-3m
Size of the total moment (μB/atom): 0.0000
ΔE_f (raw) (meV/atom): -369.1
Uncorrected energy (eV per atom): -5.191

This record from the Alexandria database describes crystalline ErSbPd4 at its relaxed geometry. The functional is PBE.

Cell lengths 5.3870, 5.3870, 5.3870 Å; angles 60.00, 60.00, 60.00 degrees
Closest atoms and distances in Å follow each position.
Atoms (fractional coordinates):
Er (0.2500, 0.2500, 0.2500)  12 Pd 3.16, 4 Sb 3.30
Sb (0.0000, 0.0000, 0.0000)  12 Pd 3.16, 4 Er 3.30
Pd (0.1260, 0.6247, 0.6247)  6 Pd 2.69-2.70
Pd (0.6247, 0.6247, 0.6247)  6 Pd 2.69-2.70
Pd (0.6247, 0.6247, 0.1260)  6 Pd 2.69-2.70
Pd (0.6247, 0.1260, 0.6247)  6 Pd 2.69-2.70

Computed properties:
Space group: F-43m
Size of the total moment (μB/atom): 0.0000
ΔE_f (raw) (meV/atom): -551.1
Energy relative to the lowest polymorph listed for this composition (meV/atom): 0
Uncorrected energy (eV per atom): -5.461

This record from the Alexandria database describes crystalline ErSbPd at its relaxed geometry. The functional is PBE.

Cell lengths 3.9900, 3.9900, 5.1863 Å; angles 112.62, 112.62, 90.00 degrees
Closest atoms and distances in Å follow each position.
Atoms (fractional coordinates):
Pd (0.9400, 0.9400, 0.8799)  1 Sb 2.75, 1 Er 3.01
Er (0.2862, 0.2862, 0.5723)  5 Sb 2.94-3.16, 5 Pd 3.01-3.12
Sb (0.6239, 0.6239, 0.2478)  1 Pd 2.75, 1 Er 2.94

Computed properties:
Space group: I4mm
Size of the total moment (μB/atom): 0.0000
ΔE_f (raw) (meV/atom): -672.4
Uncorrected energy (eV per atom): -5.298

This record from the Alexandria database describes crystalline Er2SbPd9 at its relaxed geometry. The functional is PBE.

Cell lengths 4.0905, 4.0905, 12.2261 Å; angles 90.00, 90.00, 90.00 degrees
Closest atoms and distances in Å follow each position.
Atoms (fractional coordinates):
Pd (0.5000, 0.5000, 0.6716)  8 Pd 2.89-2.93, 4 Er 2.89
Pd (0.5000, 0.0000, 0.5000)  4 Er 2.87, 8 Pd 2.89-2.93
Pd (0.5000, 0.0000, 0.8389)  2 Sb 2.84, 8 Pd 2.84-2.89, 2 Er 2.95
Pd (0.5000, 0.5000, 0.0000)  8 Pd 2.84, 4 Sb 2.89
Pd (0.0000, 0.5000, 0.5000)  4 Er 2.87, 8 Pd 2.89-2.93
Pd (0.5000, 0.0000, 0.1611)  2 Sb 2.84, 8 Pd 2.84-2.89, 2 Er 2.95
Pd (0.0000, 0.5000, 0.8389)  2 Sb 2.84, 8 Pd 2.84-2.89, 2 Er 2.95
Pd (0.0000, 0.5000, 0.1611)  8 Pd 2.84-2.89, 2 Sb 2.84, 2 Er 2.95
Pd (0.5000, 0.5000, 0.3284)  8 Pd 2.89-2.93, 4 Er 2.89
Er (0.0000, 0.0000, 0.6652)  12 Pd 2.87-2.95
Er (0.0000, 0.0000, 0.3348)  12 Pd 2.87-2.95
Sb (0.0000, 0.0000, 0.0000)  12 Pd 2.84-2.89

Computed properties:
Space group: P4/mmm
Size of the total moment (μB/atom): 0.0000
ΔE_f (raw) (meV/atom): -738.8
Uncorrected energy (eV per atom): -5.737

This record from the Alexandria database describes crystalline ErSn2Sb2Pd7 at its relaxed geometry. The functional is PBE.

Cell lengths 4.0287, 4.0287, 15.4139 Å; angles 87.27, 87.27, 90.41 degrees
Closest atoms and distances in Å follow each position.
Atoms (fractional coordinates):
Pd (0.4747, 0.9739, 0.1376)  2 Sb 2.64-2.65, 6 Pd 2.84-2.92, 2 Er 2.92
Pd (0.5000, 0.5000, 0.0000)  4 Er 2.84-2.86, 8 Pd 2.92
Pd (0.3768, 0.3768, 0.4209)  1 Sb 2.65, 5 Sn 2.77-2.91, 1 Pd 2.89
Pd (0.0261, 0.5253, 0.8624)  2 Sb 2.64-2.65, 6 Pd 2.84-2.92, 2 Er 2.92
Pd (0.6232, 0.6232, 0.5791)  1 Sb 2.65, 5 Sn 2.77-2.91, 1 Pd 2.89
Pd (0.5253, 0.0261, 0.8624)  2 Sb 2.64-2.65, 6 Pd 2.84-2.92, 2 Er 2.92
Pd (0.9739, 0.4747, 0.1376)  2 Sb 2.64-2.65, 6 Pd 2.84-2.92, 2 Er 2.92
Er (0.0000, 0.0000, 0.0000)  12 Pd 2.84-2.92
Sn (0.8654, 0.8654, 0.4137)  5 Pd 2.77-2.91
Sn (0.1346, 0.1346, 0.5863)  5 Pd 2.77-2.91
Sb (0.5475, 0.5475, 0.7510)  5 Pd 2.64-2.65
Sb (0.4525, 0.4525, 0.2490)  5 Pd 2.64-2.65

Computed properties:
Space group: C2/m
Size of the total moment (μB/atom): 0.0000
ΔE_f (raw) (meV/atom): -515.3
Uncorrected energy (eV per atom): -5.279

This record from the Alexandria database describes crystalline ErSc5Pd6 at its relaxed geometry. The functional is PBE.

Cell lengths 4.7758, 6.5429, 7.5394 Å; angles 90.00, 108.39, 90.00 degrees
Closest atoms and distances in Å follow each position.
Atoms (fractional coordinates):
Pd (0.1700, 0.7462, 0.3419)  7 Sc 2.83-2.93, 1 Er 2.96
Pd (0.8300, 0.7462, 0.6581)  7 Sc 2.83-2.93, 1 Er 2.96
Pd (0.5000, 0.7408, 0.0000)  6 Sc 2.85-2.95, 2 Er 2.93, 1 Pd 3.15
Pd (0.5000, 0.2592, 0.0000)  6 Sc 2.85-2.95, 2 Er 2.93, 1 Pd 3.15
Pd (0.8300, 0.2538, 0.6581)  7 Sc 2.83-2.93, 1 Er 2.96
Pd (0.1700, 0.2538, 0.3419)  7 Sc 2.83-2.93, 1 Er 2.96
Sc (0.0000, 0.5000, 0.0000)  8 Pd 2.86-2.93
Sc (0.3321, 0.0000, 0.6632)  8 Pd 2.84-2.95
Sc (0.6658, 0.5000, 0.3325)  8 Pd 2.83-2.88
Sc (0.6679, 0.0000, 0.3368)  8 Pd 2.84-2.95
Sc (0.3342, 0.5000, 0.6675)  8 Pd 2.83-2.88
Er (0.0000, 0.0000, 0.0000)  8 Pd 2.93-2.96, 2 Sc 3.27

Computed properties:
Calculated formation energy (eV/f.u.): -10.75
Space group: P2/m
Size of the total moment (μB/atom): 0.0001
Uncorrected energy (eV per atom): -6.511